1.
BPt (GGA-PBE, relaxed); DFT total energy = -6.129 eV per atom
1.0
6.577 0.000 0.000
0.000 6.577 0.000
0.000 0.000 6.577
B Pt
8 8
direct
0.666 0.666 0.666 B
0.334 0.666 0.334 B
0.166 0.834 0.834 B
0.834 0.166 0.834 B
0.166 0.166 0.166 B
0.666 0.334 0.334 B
0.334 0.334 0.666 B
0.834 0.834 0.166 B
0.343 0.343 0.343 Pt
0.657 0.343 0.657 Pt
0.157 0.157 0.843 Pt
0.843 0.157 0.157 Pt
0.343 0.657 0.657 Pt
0.657 0.657 0.343 Pt
0.843 0.843 0.843 Pt
0.157 0.843 0.157 Pt

***

2.
ScCrAg2Ru (GGA-PBE, relaxed); DFT total energy = -4.525 eV per atom
1.0
4.873 0.000 0.000
0.000 4.454 0.000
0.000 0.000 4.873
Ru Ag Cr Sc
1 2 1 1
direct
0.500 0.500 0.500 Ru
0.500 0.000 0.000 Ag
0.000 0.000 0.500 Ag
0.000 0.500 0.000 Cr
0.000 0.000 0.000 Sc

***

3.
Pr8Te4AsPt3 (GGA-PBE, relaxed); formation energy without anion corrections = -1.292 eV per atom
1.0
8.664 0.000 0.000
0.000 9.040 0.257
-4.332 -4.327 6.131
Te Pr Pt As
4 8 3 1
direct
0.000 0.000 0.500 Te
0.500 0.000 0.000 Te
0.500 0.000 0.500 Te
0.000 0.000 0.000 Te
0.262 0.287 0.525 Pr
0.264 0.279 0.021 Pr
0.242 0.720 0.484 Pr
0.758 0.279 0.021 Pr
0.758 0.280 0.516 Pr
0.738 0.713 0.475 Pr
0.736 0.721 0.979 Pr
0.242 0.721 0.979 Pr
0.000 0.500 0.500 Pt
0.500 0.500 0.500 Pt
0.500 0.500 0.000 Pt
0.000 0.500 0.000 As

***

4.
LiMg14AlO16 (GGA-PBE, relaxed); formation energy without anion corrections = -2.691 eV per atom
1.0
-2.246 -3.096 -1.802
6.163 -5.512 1.787
-3.671 -1.683 7.468
Al Mg O Li
1 14 16 1
direct
0.000 0.000 0.000 Al
0.500 0.000 0.743 Mg
0.000 0.752 0.255 Mg
0.500 0.000 0.257 Mg
0.500 0.500 0.252 Mg
0.500 0.751 0.000 Mg
0.500 0.249 0.000 Mg
0.500 0.500 0.748 Mg
0.000 0.248 0.745 Mg
0.500 0.756 0.500 Mg
0.000 0.248 0.255 Mg
0.000 0.752 0.745 Mg
0.000 0.500 0.500 Mg
0.500 0.244 0.500 Mg
0.000 0.500 0.000 Mg
0.000 0.000 0.222 O
0.000 0.500 0.245 O
0.500 0.500 0.500 O
0.000 0.765 0.000 O
0.500 0.500 0.000 O
0.500 0.751 0.752 O
0.000 0.254 0.500 O
0.500 0.751 0.248 O
0.500 0.000 0.000 O
0.000 0.235 0.000 O
0.000 0.746 0.500 O
0.500 0.249 0.752 O
0.000 0.500 0.755 O
0.500 0.000 0.500 O
0.500 0.249 0.248 O
0.000 0.000 0.778 O
0.000 0.000 0.500 Li

***

5.
InSnW2 (GGA-PBE, relaxed); DFT total energy = -6.863 eV per atom
1.0
7.666 0.000 0.000
0.000 7.666 0.000
3.833 3.833 2.808
Sn W In
2 4 2
direct
0.000 0.000 0.000 Sn
0.750 0.250 0.500 Sn
0.875 0.894 0.750 W
0.375 0.356 0.750 W
0.106 0.625 0.250 W
0.644 0.125 0.250 W
0.500 0.500 0.000 In
0.250 0.750 0.500 In

***

6.
Cd2ReAs (GGA-PBE, relaxed); DFT total energy = -4.171 eV per atom
1.0
-4.076 -8.805 3.007
-1.869 -8.671 4.950
-4.412 -7.301 5.515
Re Cd As
1 2 1
direct
0.250 0.250 0.250 Re
0.997 0.997 0.997 Cd
0.503 0.503 0.503 Cd
0.750 0.750 0.750 As

***

7.
Rb2BeRhO4 (GGA-PBE, relaxed); formation energy without anion corrections = -1.333 eV per atom
1.0
-3.344 3.784 0.694
-5.112 -0.389 -3.795
-6.520 -3.694 7.450
O Be Rh Rb
8 2 2 4
direct
0.252 0.157 0.918 O
0.830 0.843 0.918 O
0.158 0.343 0.418 O
0.592 0.157 0.082 O
0.920 0.657 0.582 O
0.327 0.843 0.082 O
0.423 0.657 0.418 O
0.498 0.343 0.582 O
0.500 0.000 0.000 Be
0.250 0.500 0.500 Be
0.750 0.500 0.500 Rh
0.000 0.000 0.000 Rh
0.925 0.500 0.151 Rb
0.825 0.000 0.349 Rb
0.175 0.000 0.651 Rb
0.575 0.500 0.849 Rb

***

8.
LiAl3B (GGA-PBE, relaxed); DFT total energy = -2.759 eV per atom
1.0
4.350 0.000 0.000
0.000 4.350 0.000
0.000 0.000 4.350
Al B Li
3 1 1
direct
0.000 0.500 0.000 Al
0.500 0.000 0.000 Al
0.000 0.000 0.500 Al
0.500 0.500 0.500 B
0.000 0.000 0.000 Li

***

What did the seventh record say?
Rb2BeRhO4 (GGA-PBE, relaxed); formation energy without anion corrections = -1.333 eV per atom
1.0
-3.344 3.784 0.694
-5.112 -0.389 -3.795
-6.520 -3.694 7.450
O Be Rh Rb
8 2 2 4
direct
0.252 0.157 0.918 O
0.830 0.843 0.918 O
0.158 0.343 0.418 O
0.592 0.157 0.082 O
0.920 0.657 0.582 O
0.327 0.843 0.082 O
0.423 0.657 0.418 O
0.498 0.343 0.582 O
0.500 0.000 0.000 Be
0.250 0.500 0.500 Be
0.750 0.500 0.500 Rh
0.000 0.000 0.000 Rh
0.925 0.500 0.151 Rb
0.825 0.000 0.349 Rb
0.175 0.000 0.651 Rb
0.575 0.500 0.849 Rb